## GdMgPd (PBE)

Data for GdMgPd after structural relaxation.

Cell: 7.176 4.261 8.577 Å, 90.00 90.00 90.00°
Fractional coordinates of all 12 atoms:
Gd 0.040 0.250 0.180
Gd 0.460 0.750 0.680
Gd 0.540 0.250 0.320
Gd 0.960 0.750 0.820
Mg 0.135 0.250 0.561
Mg 0.365 0.750 0.061
Mg 0.635 0.250 0.939
Mg 0.865 0.750 0.439
Pd 0.249 0.250 0.878
Pd 0.251 0.750 0.378
Pd 0.749 0.250 0.622
Pd 0.751 0.750 0.122

For the density, the calculation gives 7.3 g/cm3. The value obtained for the energy above the most stable polymorph in this dataset is 4 meV/atom. As for the crystal system: orthorhombic.